Entry 1:
# Cs2ZnP

A geometry-optimized Cs2ZnP structure (PBE, the Alexandria database).

Computed properties:
Calculated volume ... 66.87 Å³ per atom
ΔE to the lowest computed polymorph ... 62.2 kJ/mol of atoms
Formation enthalpy at 0 K ... 0.40 eV per atom
Crystal system ... tetragonal

Unit cell a=7.3104 b=7.3104 c=11.2654 alpha=71.07 beta=71.07 gamma=90.00
Each line ends with the local moment (μB).
Sites, in units of the cell vectors:
Cs  0.5623  0.1250  0.2500  0.02
Cs  0.1877  0.6250  0.2500  0.02
Cs  0.3750  0.4377  0.7500  0.02
Cs  0.8750  0.8123  0.7500  0.02
P  0.5000  0.5000  0.0000  0.39
P  0.2500  0.7500  0.5000  0.39
Zn  0.0000  0.0000  0.0000  -0.01
Zn  0.7500  0.2500  0.5000  -0.01

---

Entry 2:
# Pm3NdP

A geometry-optimized Pm3NdP structure (PBE, the Alexandria database).

Computed properties:
Calculated volume ... 34.38 Å³ per atom
Formation enthalpy at 0 K ... -0.40 eV per atom
Crystal system ... cubic

Unit cell a=5.5600 b=5.5600 c=5.5600 alpha=90.00 beta=90.00 gamma=90.00
Sites, in units of the cell vectors:
P  0.0000  0.0000  0.0000
Nd  0.5000  0.5000  0.5000
Pm  0.0000  0.5000  0.0000
Pm  0.0000  0.0000  0.5000
Pm  0.5000  0.0000  0.0000

---

Entry 3:
# CaTi2IrO8

A geometry-optimized CaTi2IrO8 structure (PBE, the Alexandria database).

Computed properties:
Raw formation energy ... -2.1786 eV/atom
Calculated volume ... 11.82 Å³ per atom
Crystal system ... monoclinic

Unit cell a=4.7402 b=4.7359 c=6.3229 alpha=90.00 beta=90.00 gamma=87.91
Sites, in units of the cell vectors:
Ca  0.0000  0.0000  0.5000
Ti  0.5000  0.5000  0.7351
Ti  0.5000  0.5000  0.2649
Ir  0.0000  0.0000  0.0000
O  0.2144  0.7846  0.2125
O  0.7154  0.7162  0.0000
O  0.7856  0.2154  0.2125
O  0.7856  0.2154  0.7875
O  0.2846  0.2838  0.0000
O  0.2144  0.7846  0.7875
O  0.6744  0.6760  0.5000
O  0.3256  0.3240  0.5000

---

Entry 4:
# Li2ThScSe4

A geometry-optimized Li2ThScSe4 structure (PBE, the Alexandria database).

Computed properties:
Raw formation energy ... -1.5257 eV/atom
Calculated volume ... 22.66 Å³ per atom
Crystal system ... monoclinic

Unit cell a=3.9947 b=6.9217 c=6.9409 alpha=109.16 beta=90.00 gamma=90.00
Sites, in units of the cell vectors:
Li  0.5000  0.0000  0.5000
Li  0.0000  0.5000  0.5000
Th  0.0000  0.0000  0.0000
Sc  0.5000  0.5000  0.0000
Se  0.5000  0.2706  0.2639
Se  0.5000  0.7294  0.7361
Se  0.0000  0.2648  0.7507
Se  0.0000  0.7352  0.2493

---

Entry 5:
# CdPdRu3

A geometry-optimized CdPdRu3 structure (PBE, the Alexandria database).

Computed properties:
Calculated volume ... 21.81 Å³ per atom
ΔE to the lowest computed polymorph ... 0.0 kJ/mol of atoms
Formation enthalpy at 0 K ... 1.80 eV per atom
Crystal system ... cubic

Unit cell a=4.7774 b=4.7774 c=4.7774 alpha=90.00 beta=90.00 gamma=90.00
Each line ends with the local moment (μB).
Sites, in units of the cell vectors:
Ru  0.0000  0.5000  0.0000  1.78
Ru  0.0000  0.0000  0.5000  2.33
Ru  0.5000  0.0000  0.0000  1.36
Pd  0.0000  0.0000  0.0000  0.58
Cd  0.5000  0.5000  0.5000  -0.01

---

Entry 6:
# TiTlSe2F

A geometry-optimized TiTlSe2F structure (PBE, the Alexandria database).

Computed properties:
Raw formation energy ... -1.3450 eV/atom
Calculated volume ... 21.31 Å³ per atom
Crystal system ... tetragonal

Unit cell a=5.1456 b=5.1456 c=4.0246 alpha=90.00 beta=90.00 gamma=90.00
Sites, in units of the cell vectors:
Tl  0.5000  0.5000  0.5000
F  0.0000  0.0000  0.5000
Se  0.0000  0.5000  0.0000
Se  0.5000  0.0000  0.0000
Ti  0.0000  0.0000  0.0000